# 1
VASP calculation (PBE) on a geometry-optimized PrTmGeRh structure.

Unit cell a=5.0293 b=5.0293 c=5.0293 alpha=60.00 beta=60.00 gamma=60.00
Element x y z (fractional)
Pr (0.0000, 0.0000, 0.0000)
Tm (0.5000, 0.5000, 0.5000)
Ge (0.7500, 0.7500, 0.7500)
Rh (0.2500, 0.2500, 0.2500)

Computed properties:
As for the space group: F-43m (216). Its formation enthalpy at 0 K is -0.646 eV/atom. For the total magnetization, the calculation gives 0.0000 μB/atom.

***

# 2
VASP calculation (PBE) on a geometry-optimized SrCa2LaOs structure.

Unit cell a=5.8491 b=5.8491 c=5.3661 alpha=90.00 beta=90.00 gamma=90.00
Element x y z (fractional)
Sr (0.0000, 0.0000, 0.0000)
Ca (0.0000, 0.5000, 0.5000)
Ca (0.5000, 0.0000, 0.5000)
La (0.5000, 0.5000, 0.0000)
Os (0.5000, 0.5000, 0.5000)

Computed properties:
As for the space group: P4/mmm (123). Its formation enthalpy at 0 K is 0.073 eV/atom. For the total magnetization, the calculation gives 0.0000 μB/atom.

***

# 3
VASP calculation (PBE) on a geometry-optimized PuThAs2 structure.

Unit cell a=7.2379 b=7.2379 c=7.2379 alpha=33.94 beta=33.94 gamma=33.94
Element x y z (fractional)
Pu (0.0000, 0.0000, 0.0000)
Th (0.5000, 0.5000, 0.5000)
As (0.2523, 0.2523, 0.2523)
As (0.7477, 0.7477, 0.7477)

Computed properties:
As for the space group: R-3m (166). Its formation enthalpy at 0 K is -1.246 eV/atom. For the total magnetization, the calculation gives 1.3563 μB/atom.

***

# 4
VASP calculation (PBE) on a geometry-optimized K2Mg structure.

Unit cell a=9.0510 b=9.0510 c=9.0510 alpha=153.05 beta=152.38 gamma=38.97
Element x y z (fractional)
K (0.1419, 0.1419, 0.0000)
K (0.8581, 0.8581, 0.0000)
Mg (0.5000, 0.5000, 0.0000)

Computed properties:
As for the space group: Immm (71). Its formation enthalpy at 0 K is 0.173 eV/atom. For the total magnetization, the calculation gives 0.0000 μB/atom.

***

# 5
VASP calculation (PBE) on a geometry-optimized Ac3Nd12In structure.

Unit cell a=5.2073 b=5.2073 c=21.0746 alpha=90.00 beta=90.00 gamma=90.00
Element x y z (fractional)
Ac (0.0000, 0.0000, 0.0000)
Ac (0.0000, 0.0000, 0.2554)
Ac (0.0000, 0.0000, 0.7446)
Nd (0.0000, 0.5000, 0.1281)
Nd (0.0000, 0.5000, 0.3846)
Nd (0.0000, 0.5000, 0.6154)
Nd (0.0000, 0.5000, 0.8719)
Nd (0.5000, 0.0000, 0.1281)
Nd (0.5000, 0.0000, 0.3846)
Nd (0.5000, 0.0000, 0.6154)
Nd (0.5000, 0.0000, 0.8719)
Nd (0.5000, 0.5000, 0.0000)
Nd (0.5000, 0.5000, 0.2592)
Nd (0.5000, 0.5000, 0.5000)
Nd (0.5000, 0.5000, 0.7408)
In (0.0000, 0.0000, 0.5000)

Computed properties:
As for the space group: P4/mmm (123). Its formation enthalpy at 0 K is -0.034 eV/atom. For the total magnetization, the calculation gives 0.0000 μB/atom.

***

# 6
VASP calculation (PBE) on a geometry-optimized BaV3Pb structure.

Unit cell a=4.9043 b=4.9043 c=4.9043 alpha=90.00 beta=90.00 gamma=90.00
Element x y z (fractional)
Ba (0.0000, 0.0000, 0.0000)
V (0.0000, 0.0000, 0.5000)
V (0.0000, 0.5000, 0.0000)
V (0.5000, 0.0000, 0.0000)
Pb (0.5000, 0.5000, 0.5000)

Computed properties:
As for the space group: Pm-3m (221). Its formation enthalpy at 0 K is 2.259 eV/atom. For the total magnetization, the calculation gives 0.4366 μB/atom.

***

# 7
VASP calculation (PBE) on a geometry-optimized Cs2PbS2O6 structure.

Unit cell a=5.9838 b=5.9838 c=8.0790 alpha=110.03 beta=110.03 gamma=60.95
Element x y z (fractional)
Cs (0.2117, 0.2117, 0.1655)
Cs (0.7883, 0.7883, 0.8345)
Pb (0.0000, 0.0000, 0.5000)
S (0.4138, 0.4138, 0.7522)
S (0.5862, 0.5862, 0.2478)
O (0.2729, 0.2729, 0.5865)
O (0.2939, 0.7029, 0.7338)
O (0.2971, 0.7061, 0.2662)
O (0.7029, 0.2939, 0.7338)
O (0.7061, 0.2971, 0.2662)
O (0.7271, 0.7271, 0.4135)

Computed properties:
As for the space group: C2/m (12). As for the formation energy (no corrections): -1478 meV/atom. For the total magnetization, the calculation gives 0.0000 μB/atom.

***

# 8
VASP calculation (PBE) on a geometry-optimized AcTb2PmSb4 structure.

Unit cell a=7.8370 b=4.5312 c=7.8474 alpha=90.00 beta=109.45 gamma=90.00
Element x y z (fractional)
Ac (0.0000, 0.0000, 0.0000)
Tb (0.5000, 0.0000, 0.5000)
Tb (0.5000, 0.5000, 0.0000)
Pm (0.0000, 0.5000, 0.5000)
Sb (0.2612, 0.0000, 0.7466)
Sb (0.2669, 0.5000, 0.2630)
Sb (0.7331, 0.5000, 0.7370)
Sb (0.7388, 0.0000, 0.2534)

Computed properties:
As for the space group: P2/m (10). As for the formation energy (no corrections): -1152 meV/atom. For the total magnetization, the calculation gives 0.0000 μB/atom.

***

no.,final energy (eV/atom)
1,-5.951
2,-4.295
3,-9.009
4,-1.091
5,-4.551
6,-4.338
7,-5.425
8,-5.478